HoPu2Tl9 | PBE-GGA | optimized geometry Values from VASP.

Output
* D(E_F): 29.84 states/eV per cell
* energy relative to the elements: -0.0942 eV/atom
* SG: P4/mmm (123)
* uncorrected energy: -4.639 eV per atom

Quantum ESPRESSO input file:
```
&SYSTEM
  ibrav = 0, nat = 12, ntyp = 3
/
ATOMIC_SPECIES
Tl 204.38 Tl.upf
Pu 244.00 Pu.upf
Ho 164.93 Ho.upf
CELL_PARAMETERS angstrom
-3.963 -2.210 -1.487
1.542 -4.077 1.949
-6.518 3.413 12.298
ATOMIC_POSITIONS crystal
Tl 0.000 0.500 0.165
Tl 0.500 0.500 0.335
Tl 0.500 0.000 0.835
Tl 0.500 0.000 0.165
Tl 0.500 0.500 0.000
Tl 0.500 0.000 0.500
Tl 0.500 0.500 0.665
Tl 0.000 0.500 0.835
Tl 0.000 0.500 0.500
Pu 0.000 0.000 0.669
Pu 0.000 0.000 0.331
Ho 0.000 0.000 0.000
```